The following is a PBE with a Hubbard U calculation of MgZnCr2O after structural relaxation, from Alexandria via LeMat-Bulk.

Results
- E: -24.09 eV per cell
- Spin magnetization: 8.205 μB per formula unit

CIF file:
```
data_MgZnCr2O
_cell_length_a 4.131
_cell_length_b 4.131
_cell_length_c 4.958
_cell_angle_alpha 90.00
_cell_angle_beta 90.00
_cell_angle_gamma 90.00
_symmetry_space_group_name_H-M 'P 4/m m m'
_symmetry_Int_Tables_number 123
_symmetry_space_group_name_Hall '-P 4 2'
loop_
_atom_site_label
_atom_site_fract_x
_atom_site_fract_y
_atom_site_fract_z
_atom_site_occupancy
Mg1 0.000 0.000 0.000 1
Zn1 0.500 0.500 0.000 1
Cr1 0.000 0.500 0.500 1
O1 0.500 0.500 0.500 1
```